# CaMn9CdO10 (PBE with a Hubbard U, optimized geometry)
# Spin magnetization ... 45.0 μB/f.u.
# Distance to the lowest polymorph of the same formula ... 315.7 kJ/mol of formula units
data_CaMn9CdO10
_symmetry_space_group_name_H-M 'P 1'
_symmetry_Int_Tables_number 1
_symmetry_space_group_name_Hall 'P 1'
_cell_length_a 9.2499
_cell_length_b 9.2499
_cell_length_c 5.9525
_cell_angle_alpha 81.04
_cell_angle_beta 81.04
_cell_angle_gamma 139.88
loop_
_atom_site_label
_atom_site_type_symbol
_atom_site_fract_x
_atom_site_fract_y
_atom_site_fract_z
O1 O 0.0434 0.3099 0.2027
Mn1 Mn 0.2858 0.6312 0.8530
O2 O 0.9494 0.3763 0.7602
O3 O 0.2420 0.2420 0.7267
Mn2 Mn 0.4434 0.2409 0.4381
O4 O 0.3099 0.0434 0.2027
Mn3 Mn 0.2180 0.2180 0.0837
Mn4 Mn 0.6312 0.2858 0.8530
Cd1 Cd 0.7194 0.7194 0.4113
O5 O 0.8932 0.6455 0.8151
Mn5 Mn 0.1558 0.7396 0.5184
Mn6 Mn 0.2409 0.4434 0.4381
Ca1 Ca 0.8323 0.8323 0.8407
O6 O 0.4446 0.7970 0.4103
O7 O 0.6455 0.8932 0.8151
O8 O 0.4720 0.4720 0.2043
O9 O 0.7970 0.4446 0.4103
O10 O 0.3763 0.9494 0.7602
Mn7 Mn 0.7477 0.0595 0.0638
Mn8 Mn 0.0595 0.7477 0.0638
Mn9 Mn 0.7396 0.1558 0.5184